# 1
# Sc2TeF2

Sc2TeF2 after structural relaxation (PBE, Alexandria).

Total magnetization (μB per formula unit): 0.00
E_tot (eV per atom): -6.312
Crystal system: tetragonal
V (Å³/f.u.): 82.4

Cell lengths 3.788, 3.788, 11.487 Å; angles 90.00, 90.00, 90.00 degrees
Space group I4/mmm (No. 139)
Symmetry-distinct sites (fractional):
Sc 0.000 0.000 0.134 (multiplicity 4)
Te 0.000 0.000 0.500 (multiplicity 2)
F 0.000 0.500 0.250 (multiplicity 4)



# 2
# Sm4ThCu5

Sm4ThCu5 after structural relaxation (PBE, Alexandria).

Total magnetization (μB per formula unit): 0.00
E_tot (eV per atom): -4.831
Crystal system: tetragonal
V (Å³/f.u.): 224.0

Cell lengths 3.529, 3.529, 17.982 Å; angles 90.00, 90.00, 90.00 degrees
Space group P4/mmm (No. 123)
Symmetry-distinct sites (fractional):
Sm 0.000 0.000 0.100 (multiplicity 2)
Sm 0.000 0.000 0.298 (multiplicity 2)
Th 0.000 0.000 0.500 (multiplicity 1)
Cu 0.500 0.500 0.000 (multiplicity 1)
Cu 0.500 0.500 0.199 (multiplicity 2)
Cu 0.500 0.500 0.396 (multiplicity 2)



# 3
# ZrTeAs2

ZrTeAs2 after structural relaxation (PBE, Alexandria).

Total magnetization (μB per formula unit): 0.00
E_tot (eV per atom): -5.512
Crystal system: orthorhombic
V (Å³/f.u.): 90.2

Cell lengths 3.893, 4.818, 9.615 Å; angles 90.00, 90.00, 90.00 degrees
Space group Imm2 (No. 44)
Symmetry-distinct sites (fractional):
Zr 0.000 0.000 0.000 (multiplicity 2)
Te 0.000 0.500 0.744 (multiplicity 2)
As 0.000 0.000 0.477 (multiplicity 2)
As 0.000 0.500 0.155 (multiplicity 2)



# 4
# CrHIrPd2

CrHIrPd2 after structural relaxation (PBE, Alexandria).

Total magnetization (μB per formula unit): 2.49
E_tot (eV per atom): -6.383
Crystal system: tetragonal
V (Å³/f.u.): 60.9

Cell lengths 3.877, 3.877, 4.051 Å; angles 90.00, 90.00, 90.00 degrees
Space group P4/mmm (No. 123)
Symmetry-distinct sites (fractional):
Cr 0.000 0.000 0.000 (multiplicity 1)
H 0.000 0.000 0.500 (multiplicity 1)
Ir 0.500 0.500 0.000 (multiplicity 1)
Pd 0.000 0.500 0.500 (multiplicity 2)



# 5
# SmEuN

SmEuN after structural relaxation (PBE, Alexandria).

Total magnetization (μB per formula unit): 7.31
Distance to the lowest polymorph of the same formula (meV per atom): 544
Crystal system: cubic
V (Å³/f.u.): 59.4

Cell lengths 6.194, 6.194, 6.194 Å; angles 90.00, 90.00, 90.00 degrees
Space group F-43m (No. 216)
Symmetry-distinct sites (fractional):
Sm 0.000 0.000 0.000 (multiplicity 4)
Eu 0.000 0.000 0.500 (multiplicity 4)
N 0.250 0.250 0.750 (multiplicity 4)



# 6
# Mg2CoAs2Ir

Mg2CoAs2Ir after structural relaxation (PBE, Alexandria).

Total magnetization (μB per formula unit): 0.73
E_tot (eV per atom): -5.135
Crystal system: orthorhombic
V (Å³/f.u.): 100.0

Cell lengths 5.718, 12.187, 5.741 Å; angles 90.00, 90.00, 90.00 degrees
Space group Ibam (No. 72)
Symmetry-distinct sites (fractional):
Mg 0.240 0.157 0.000 (multiplicity 8)
Co 0.000 0.500 0.250 (multiplicity 4)
As 0.223 0.380 0.000 (multiplicity 8)
Ir 0.000 0.000 0.250 (multiplicity 4)



# 7
# ScCrW3

ScCrW3 after structural relaxation (PBE, Alexandria).

Total magnetization (μB per formula unit): 0.00
Distance to the lowest polymorph of the same formula (meV per atom): 0
Crystal system: cubic
V (Å³/f.u.): 94.7

Cell lengths 4.558, 4.558, 4.558 Å; angles 90.00, 90.00, 90.00 degrees
Space group Pm-3m (No. 221)
Symmetry-distinct sites (fractional):
Sc 0.000 0.000 0.000 (multiplicity 1)
Cr 0.500 0.500 0.500 (multiplicity 1)
W 0.000 0.500 0.500 (multiplicity 3)



# 8
# Fe2OsPt

Fe2OsPt after structural relaxation (PBE, Alexandria).

Total magnetization (μB per formula unit): 4.15
Distance to the lowest polymorph of the same formula (meV per atom): 62
Crystal system: monoclinic
V (Å³/f.u.): 53.2

Cell lengths 8.808, 2.687, 4.572 Å; angles 90.00, 100.60, 90.00 degrees
Space group Cm (No. 8)
Symmetry-distinct sites (fractional):
Fe 0.000 0.000 0.000 (multiplicity 2)
Fe 0.247 0.500 0.252 (multiplicity 2)
Os 0.492 0.000 0.475 (multiplicity 2)
Pt 0.247 0.000 0.753 (multiplicity 2)



# 9
# PrTlSe2O6

PrTlSe2O6 after structural relaxation (PBE, Alexandria).

Total magnetization (μB per formula unit): 0.00
E_tot (eV per atom): -5.939
Crystal system: monoclinic
V (Å³/f.u.): 181.5

Cell lengths 8.892, 10.833, 8.014 Å; angles 90.00, 109.83, 90.00 degrees
Space group C2/c (No. 15)
Symmetry-distinct sites (fractional):
Pr 0.000 0.053 0.250 (multiplicity 4)
Tl 0.000 0.338 0.750 (multiplicity 4)
Se 0.207 0.375 0.297 (multiplicity 8)
O 0.091 0.109 0.570 (multiplicity 8)
O 0.189 0.220 0.250 (multiplicity 8)
O 0.228 0.445 0.113 (multiplicity 8)



# 10
# Co4NiHg

Co4NiHg after structural relaxation (PBE, Alexandria).

Total magnetization (μB per formula unit): 7.53
E_tot (eV per atom): -5.427
Crystal system: cubic
V (Å³/f.u.): 77.6

Cell lengths 6.771, 6.771, 6.771 Å; angles 90.00, 90.00, 90.00 degrees
Space group F-43m (No. 216)
Symmetry-distinct sites (fractional):
Co 0.124 0.124 0.124 (multiplicity 16)
Ni 0.250 0.250 0.750 (multiplicity 4)
Hg 0.000 0.000 0.500 (multiplicity 4)



# 11
# ReNi2Br

ReNi2Br after structural relaxation (PBE, Alexandria).

Total magnetization (μB per formula unit): 0.00
Distance to the lowest polymorph of the same formula (meV per atom): 86
Crystal system: tetragonal
V (Å³/f.u.): 60.2

Cell lengths 2.773, 2.773, 7.826 Å; angles 90.00, 90.00, 90.00 degrees
Space group P4/mmm (No. 123)
Symmetry-distinct sites (fractional):
Re 0.000 0.000 0.000 (multiplicity 1)
Ni 0.500 0.500 0.218 (multiplicity 2)
Br 0.000 0.000 0.500 (multiplicity 1)



# 12
# Ce6SbSe5

Ce6SbSe5 after structural relaxation (PBE, Alexandria).

Total magnetization (μB per formula unit): 5.70
E_tot (eV per atom): -6.441
Crystal system: monoclinic
V (Å³/f.u.): 326.8

Cell lengths 7.364, 12.762, 7.377 Å; angles 90.00, 109.50, 90.00 degrees
Space group C2/m (No. 12)
Symmetry-distinct sites (fractional):
Ce 0.241 0.000 0.254 (multiplicity 4)
Ce 0.242 0.172 0.742 (multiplicity 8)
Sb 0.000 0.500 0.000 (multiplicity 2)
Se 0.000 0.000 0.500 (multiplicity 2)
Se 0.000 0.168 0.000 (multiplicity 4)
Se 0.000 0.338 0.500 (multiplicity 4)